Entry from Alexandria: a relaxed structure of Al2TlAu2 (GGA-PBE).

Computed properties:
Uncorrected energy: -17.5 eV/f.u.
Energy of formation from the pure elements: -21.23 kJ per mole of atoms
Energy above the lowest structure with this stoichiometry: 0 kJ/mol of formula units

```
Al2TlAu2
1.0
-2.0898 2.0898 5.9912
2.0898 -2.0898 5.9912
2.0898 2.0898 -5.9912
Al Tl Au
2 1 2
Cartesian
2.0898 0.0000 2.9956
0.0000 2.0898 2.9956
0.0000 0.0000 0.0000
0.0000 0.0000 4.5348
0.0000 0.0000 7.4476
```